## HoEr8Sc4 (GGA-PBE)

Data for a geometry-optimized HoEr8Sc4 structure.

Calculated values
theoretical density: 7.372 Mg/m³
formation energy from the elements: 3.46 eV/f.u.
symmetry: R-3m
volume: 29.160 Å³/atom

```
data_HoEr8Sc4
_chemical_formula_sum 'Ho1 Er8 Sc4'
_cell_length_a 6.9903
_cell_length_b 6.9903
_cell_length_c 9.8251
_cell_angle_alpha 90.00
_cell_angle_beta 110.84
_cell_angle_gamma 120.00
_space_group_name_H-M_alt 'P 1'
_space_group_IT_number 1
loop_
_space_group_symop_operation_xyz
'x,y,z'
loop_
_atom_site_label
_atom_site_fract_x
_atom_site_fract_y
_atom_site_fract_z
Er1 0.9610 0.2087 0.7134
Er2 0.0390 0.2476 0.2866
Er3 0.5707 0.7853 0.3560
Er4 0.5047 0.7524 0.7134
Er5 0.9610 0.7524 0.7134
Er6 0.4953 0.2476 0.2866
Er7 0.0390 0.7913 0.2866
Er8 0.4293 0.2147 0.6440
Sc1 0.5000 0.0000 0.0000
Sc2 0.0000 0.5000 0.0000
Sc3 0.0000 0.0000 0.0000
Sc4 0.5000 0.5000 0.0000
Ho1 0.0000 0.5000 0.5000
```